Entry 1:
! PrYTm2Sc | Alexandria via LeMat-Bulk | PBE-GGA | optimized geometry; values from VASP
! theoretical density: 6668 kg/m3
! total energy: -52.56 eV for the cell shown
! magnetic moment: 0.00 μB per formula unit
! formation energy: 0.05 eV per atom
&SYSTEM
  ibrav = 0, nat = 10, ntyp = 4
/
ATOMIC_SPECIES
Pr 140.91 Pr.upf
Y 88.91 Y.upf
Tm 168.93 Tm.upf
Sc 44.96 Sc.upf
CELL_PARAMETERS angstrom
7.8270 0.0000 0.0000
0.0000 4.9756 0.0000
-0.0425 0.0000 7.8348
ATOMIC_POSITIONS angstrom
Pr 1.9002 1.2439 1.8816
Pr 5.8842 3.7317 5.9532
Y 3.4588 1.2439 5.1191
Y 4.3257 3.7317 2.7157
Tm 1.1247 3.7317 4.2869
Tm 2.6256 3.7317 7.4193
Tm 5.1589 1.2439 0.4156
Tm 6.6597 1.2439 3.5479
Sc 0.3400 1.2439 6.6573
Sc 7.4445 3.7317 1.1775

Entry 2:
! PrYTmSc | Alexandria via LeMat-Bulk | PBE-GGA | optimized geometry; values from VASP
! theoretical density: 5986 kg/m3
! total energy: -21.65 eV for the cell shown
! magnetic moment: 0.00 μB per formula unit
! ΔE to the lowest computed polymorph: 0 meV/atom
! formation energy: 0.10 eV per atom
&SYSTEM
  ibrav = 0, nat = 4, ntyp = 4
/
ATOMIC_SPECIES
Pr 140.91 Pr.upf
Y 88.91 Y.upf
Tm 168.93 Tm.upf
Sc 44.96 Sc.upf
CELL_PARAMETERS angstrom
0.0000 3.9481 3.9481
3.9481 0.0000 3.9481
3.9481 3.9481 0.0000
ATOMIC_POSITIONS angstrom
Pr 0.0000 0.0000 0.0000
Y 3.9481 3.9481 3.9481
Tm 1.9740 1.9740 1.9740
Sc 5.9221 5.9221 5.9221

Entry 3:
! PrY6Tm2Sc3 | Alexandria via LeMat-Bulk | PBE-GGA | optimized geometry; values from VASP
! theoretical density: 5257 kg/m3
! total energy: -70.86 eV for the cell shown
! magnetic moment: 0.00 μB per formula unit
! formation energy: 0.05 eV per atom
&SYSTEM
  ibrav = 0, nat = 12, ntyp = 4
/
ATOMIC_SPECIES
Pr 140.91 Pr.upf
Y 88.91 Y.upf
Tm 168.93 Tm.upf
Sc 44.96 Sc.upf
CELL_PARAMETERS angstrom
3.0358 -5.2574 0.0000
3.0358 5.2574 0.0000
-2.0237 0.0000 11.3501
ATOMIC_POSITIONS angstrom
Pr 0.0000 0.0000 0.0000
Y 1.0151 1.7561 2.9462
Y 0.0041 0.0000 8.4028
Y 1.0151 -1.7561 2.9462
Y 3.0327 1.7561 8.4039
Y 4.0438 0.0000 2.9474
Y 3.0327 -1.7561 8.4039
Tm 3.0358 1.7517 0.0000
Tm 3.0358 -1.7517 0.0000
Sc 2.0239 3.5002 5.6751
Sc 2.0239 0.0000 5.6751
Sc 2.0239 -3.5002 5.6751

Entry 4:
! Pr5Y2TmSc | Alexandria via LeMat-Bulk | PBE-GGA | optimized geometry; values from VASP
! theoretical density: 5929 kg/m3
! total energy: -93.10 eV for the cell shown
! magnetic moment: 0.00 μB per formula unit
! formation energy: 0.12 eV per atom
&SYSTEM
  ibrav = 0, nat = 18, ntyp = 4
/
ATOMIC_SPECIES
Pr 140.91 Pr.upf
Y 88.91 Y.upf
Tm 168.93 Tm.upf
Sc 44.96 Sc.upf
CELL_PARAMETERS angstrom
2.7066 -11.0155 0.0000
2.7066 11.0155 0.0000
0.0000 0.0000 10.2981
ATOMIC_POSITIONS angstrom
Pr 2.7066 -11.0129 0.0000
Pr 2.7066 11.0129 5.1490
Pr 2.7066 8.2181 7.7203
Pr 2.7066 6.1441 0.6368
Pr 2.7066 6.1312 4.4949
Pr 2.7066 -0.0012 2.5736
Pr 2.7066 0.0012 7.7226
Pr 2.7066 -6.1312 9.6439
Pr 2.7066 -6.1441 5.7858
Pr 2.7066 -8.2181 2.5713
Y 2.7066 2.5318 5.1798
Y 2.7066 2.5425 10.2648
Y 2.7066 -2.5318 0.0307
Y 2.7066 -2.5425 5.1157
Tm 2.7066 8.7721 2.5732
Tm 2.7066 -8.7721 7.7223
Sc 2.7066 4.6739 7.7154
Sc 2.7066 -4.6739 2.5664

Entry 5:
! PrTmScZn | Alexandria via LeMat-Bulk | PBE-GGA | optimized geometry; values from VASP
! theoretical density: 6737 kg/m3
! total energy: -17.48 eV for the cell shown
! magnetic moment: 0.00 μB per formula unit
! ΔE to the lowest computed polymorph: 0 meV/atom
! formation energy: -0.15 eV per atom
&SYSTEM
  ibrav = 0, nat = 4, ntyp = 4
/
ATOMIC_SPECIES
Pr 140.91 Pr.upf
Tm 168.93 Tm.upf
Sc 44.96 Sc.upf
Zn 65.41 Zn.upf
CELL_PARAMETERS angstrom
3.4769 0.0000 0.0000
0.0000 3.4769 0.0000
0.0000 0.0000 8.5673
ATOMIC_POSITIONS angstrom
Pr 0.0000 0.0000 0.0000
Tm 1.7384 1.7384 5.8841
Sc 1.7384 1.7384 2.5098
Zn 0.0000 0.0000 4.0416

Entry 6:
! PrTmScZn | Alexandria via LeMat-Bulk | PBE-GGA | optimized geometry; values from VASP
! theoretical density: 6730 kg/m3
! total energy: -16.85 eV for the cell shown
! magnetic moment: 0.01 μB per formula unit
! ΔE to the lowest computed polymorph: 157 meV/atom
! formation energy: 0.00 eV per atom
&SYSTEM
  ibrav = 0, nat = 4, ntyp = 4
/
ATOMIC_SPECIES
Pr 140.91 Pr.upf
Tm 168.93 Tm.upf
Sc 44.96 Sc.upf
Zn 65.41 Zn.upf
CELL_PARAMETERS angstrom
0.0000 3.7286 3.7286
3.7286 0.0000 3.7286
3.7286 3.7286 0.0000
ATOMIC_POSITIONS angstrom
Pr 0.0000 0.0000 0.0000
Tm 3.7286 3.7286 3.7286
Sc 5.5929 5.5929 5.5929
Zn 1.8643 1.8643 1.8643

Entry 7:
! PrY3Sc4 | Alexandria via LeMat-Bulk | PBE-GGA | optimized geometry; values from VASP
! theoretical density: 4223 kg/m3
! total energy: -98.35 eV for the cell shown
! magnetic moment: 0.00 μB per formula unit
! formation energy: 0.04 eV per atom
&SYSTEM
  ibrav = 0, nat = 16, ntyp = 3
/
ATOMIC_SPECIES
Pr 140.91 Pr.upf
Y 88.91 Y.upf
Sc 44.96 Sc.upf
CELL_PARAMETERS angstrom
10.8804 0.0000 0.0000
0.0000 7.0515 0.0000
0.0000 0.0000 6.0210
ATOMIC_POSITIONS angstrom
Pr 0.0000 0.9683 0.0000
Pr 5.4402 6.0833 3.0105
Y 0.0000 6.0944 2.9825
Y 2.7035 6.0869 5.1047
Y 2.7367 0.9646 2.0942
Y 5.4402 0.9572 5.9930
Y 8.1437 0.9646 2.0942
Y 8.1769 6.0869 5.1047
Sc 0.0000 2.7297 3.0758
Sc 0.0000 4.3178 0.0602
Sc 2.6961 4.3305 2.0363
Sc 2.7441 2.7211 5.0468
Sc 5.4402 2.7337 3.0707
Sc 5.4402 4.3218 0.0653
Sc 8.1363 2.7211 5.0468
Sc 8.1843 4.3305 2.0363

Entry 8:
! Pr12Y3Sc | Alexandria via LeMat-Bulk | PBE-GGA | optimized geometry; values from VASP
! theoretical density: 6009 kg/m3
! total energy: -82.80 eV for the cell shown
! magnetic moment: 0.00 μB per formula unit
! formation energy: 0.02 eV per atom
&SYSTEM
  ibrav = 0, nat = 16, ntyp = 3
/
ATOMIC_SPECIES
Pr 140.91 Pr.upf
Y 88.91 Y.upf
Sc 44.96 Sc.upf
CELL_PARAMETERS angstrom
5.1744 0.0000 0.0000
0.0000 5.1744 0.0000
0.0000 0.0000 20.6685
ATOMIC_POSITIONS angstrom
Pr 0.0000 0.0000 0.0000
Pr 0.0000 0.0000 5.1143
Pr 0.0000 0.0000 10.3342
Pr 0.0000 0.0000 15.5542
Pr 0.0000 2.5872 2.5035
Pr 0.0000 2.5872 7.7226
Pr 0.0000 2.5872 12.9459
Pr 0.0000 2.5872 18.1649
Pr 2.5872 0.0000 2.5035
Pr 2.5872 0.0000 7.7226
Pr 2.5872 0.0000 12.9459
Pr 2.5872 0.0000 18.1649
Y 2.5872 2.5872 5.1158
Y 2.5872 2.5872 10.3342
Y 2.5872 2.5872 15.5527
Sc 2.5872 2.5872 0.0000